No. 1
First-principles (PBE) data for a relaxed HfRu3Rh crystal, as listed in Alexandria via LeMat-Bulk.

```
5
Lattice="-3.247 -2.454 -2.179 -0.421 -2.729 3.700 -3.255 2.801 1.695" Properties=species:S:1:pos:R:3 pbc="T T T"
Ru -0.211 -1.364 1.850
Rh 0.000 0.000 0.000
Ru -1.623 -1.227 -1.090
Ru -1.627 1.400 0.848
Hf -3.461 -1.191 1.608
```

Results
ΔH_f (0 K), kJ/mol of formula units: 661
Space-group type: Pm-3m, No. 221
Final energy, eV per atom: -7.656

No. 2
First-principles (PBE) data for a relaxed KSr2PPb crystal, as listed in Alexandria via LeMat-Bulk.

```
5
Lattice="6.398 0.000 0.000 0.000 5.591 0.000 0.000 0.000 6.398" Properties=species:S:1:pos:R:3 pbc="T T T"
P 0.000 2.795 0.000
K 3.199 2.795 3.199
Sr 3.199 0.000 0.000
Sr 0.000 0.000 3.199
Pb 0.000 0.000 0.000
```

Results
ΔH_f (0 K), kJ/mol of formula units: 73
Space-group type: P4/mmm, No. 123
Final energy, eV per atom: -2.565

No. 3
First-principles (PBE) data for a relaxed PrPaNi crystal, as listed in Alexandria via LeMat-Bulk.

```
3
Lattice="3.535 0.000 0.000 0.000 3.535 0.000 -1.768 -1.768 5.778" Properties=species:S:1:pos:R:3 pbc="T T T"
Ni 0.000 0.000 3.425
Pa 1.768 1.768 2.407
Pr 1.768 1.768 5.724
```

Results
ΔH_f (0 K), kJ/mol of formula units: -24
Space-group type: I4mm, No. 107
Final energy, eV per atom: -6.770

No. 4
First-principles (PBE) data for a relaxed Fe7Co2Ni2 crystal, as listed in Alexandria via LeMat-Bulk.

```
11
Lattice="-0.822 -2.225 -6.546 2.036 -3.224 2.680 -4.107 -0.400 2.152" Properties=species:S:1:pos:R:3 pbc="T T T"
Fe -3.532 -2.413 -0.762
Ni -3.038 -3.501 -2.742
Fe 0.000 0.000 0.000
Fe 0.640 -3.435 -0.952
Co -1.491 -3.381 2.466
Fe -1.556 -4.086 -0.210
Fe -0.705 -4.276 -2.837
Fe -1.336 -1.763 -1.504
Co -1.400 -2.467 -4.181
Ni 0.146 -2.348 1.027
Fe -2.187 -1.573 1.123
```

Results
ΔH_f (0 K), kJ/mol of formula units: 166
Space-group type: P-1, No. 2
Final energy, eV per atom: -7.572

Which formula does entry 2 have?
KSr2PPb